An optimized crystal structure of TlCoAu, computed with PBE.

Summary:
Polymorph energy (0 for the lowest one) ... 0 meV per atom
Crystal system ... cubic
Volume ... 19.7 Å³/atom
DOS(E_F) ... 25.7 states/eV/cell
ΔE_f ... 427 meV/atom

Cell and atoms, written as CIF:
```
data_TlCoAu
_chemical_formula_sum 'Tl4 Co4 Au4'
_symmetry_space_group_name_H-M 'F -4 3 m'
_symmetry_Int_Tables_number 216
_symmetry_space_group_name_Hall 'F -4 2 3'
_cell_length_a 6.183
_cell_length_b 6.183
_cell_length_c 6.183
_cell_angle_alpha 90.00
_cell_angle_beta 90.00
_cell_angle_gamma 90.00
loop_
_atom_site_label
_atom_site_type_symbol
_atom_site_fract_x
_atom_site_fract_y
_atom_site_fract_z
_atom_site_occupancy
Tl1 Tl 0.000 0.000 0.000 1
Co1 Co 0.250 0.250 0.250 1
Au1 Au 0.000 0.000 0.500 1
```

An optimized crystal structure of TlCoAu, computed with PBE.

Summary:
Polymorph energy (0 for the lowest one) ... 72 meV per atom
Crystal system ... trigonal
Volume ... 19.3 Å³/atom
DOS(E_F) ... 5.3 states/eV/cell
ΔE_f ... 499 meV/atom

Cell and atoms, written as CIF:
```
data_TlCoAu
_chemical_formula_sum 'Tl1 Co1 Au1'
_symmetry_space_group_name_H-M 'P 3 m 1'
_symmetry_Int_Tables_number 156
_cell_length_a 4.3534
_cell_length_b 4.3534
_cell_length_c 3.5260
_cell_angle_alpha 90.00
_cell_angle_beta 90.00
_cell_angle_gamma 120.00
loop_
_symmetry_equiv_pos_as_xyz
'x,y,z'
'-y,x-y,z'
'-x+y,-x,z'
'-y,-x,z'
'-x+y,y,z'
'x,x-y,z'
loop_
_atom_site_label
_atom_site_type_symbol
_atom_site_fract_x
_atom_site_fract_y
_atom_site_fract_z
_atom_site_occupancy
Tl1 Tl 0.0000 0.0000 0.0000 1
Co1 Co 0.6667 0.3333 0.6003 1
Au1 Au 0.3333 0.6667 0.4450 1
```

An optimized crystal structure of Tl2CoAu, computed with PBE.

Summary:
Polymorph energy (0 for the lowest one) ... 160 meV per atom
Crystal system ... trigonal
Volume ... 20.8 Å³/atom
DOS(E_F) ... 13.6 states/eV/cell
ΔE_f ... 461 meV/atom

Cell and atoms, written as CIF:
```
data_Tl2CoAu
_chemical_formula_sum 'Tl6 Co3 Au3'
_symmetry_space_group_name_H-M 'R -3 m'
_symmetry_Int_Tables_number 166
_symmetry_space_group_name_Hall '-R 3 2"'
_cell_length_a 3.4165
_cell_length_b 3.4165
_cell_length_c 24.6967
_cell_angle_alpha 90.00
_cell_angle_beta 90.00
_cell_angle_gamma 120.00
loop_
_atom_site_label
_atom_site_type_symbol
_atom_site_fract_x
_atom_site_fract_y
_atom_site_fract_z
_atom_site_occupancy
Tl1 Tl 0.0000 0.0000 0.2427 1
Co1 Co 0.0000 0.0000 0.5000 1
Au1 Au 0.0000 0.0000 0.0000 1
```

An optimized crystal structure of Tl2CoAu, computed with PBE.

Summary:
Polymorph energy (0 for the lowest one) ... 0 meV per atom
Crystal system ... orthorhombic
Volume ... 20.7 Å³/atom
DOS(E_F) ... 5.7 states/eV/cell
ΔE_f ... 301 meV/atom

Cell and atoms, written as CIF:
```
data_Tl2CoAu
_chemical_formula_sum 'Tl4 Co2 Au2'
_symmetry_space_group_name_H-M 'I m m 2'
_symmetry_Int_Tables_number 44
_cell_length_a 3.036
_cell_length_b 4.446
_cell_length_c 12.287
_cell_angle_alpha 90.00
_cell_angle_beta 90.00
_cell_angle_gamma 90.00
loop_
_symmetry_equiv_pos_as_xyz
'x,y,z'
'-x,-y,z'
'-x,y,z'
'x,-y,z'
'x+1/2,y+1/2,z+1/2'
'-x+1/2,-y+1/2,z+1/2'
'-x+1/2,y+1/2,z+1/2'
'x+1/2,-y+1/2,z+1/2'
loop_
_atom_site_label
_atom_site_type_symbol
_atom_site_fract_x
_atom_site_fract_y
_atom_site_fract_z
_atom_site_occupancy
Tl1 Tl 0.000 0.000 0.000 1
Tl2 Tl 0.000 0.500 0.205 1
Co1 Co 0.000 0.000 0.513 1
Au1 Au 0.000 0.500 0.829 1
```